No. 1
DFT (PBE) results for a relaxed PmPrErTh crystal.

a = 5.7374 Å, b = 5.7374 Å, c = 5.7374 Å
α = 60.00°, β = 60.00°, γ = 60.00°
Last column: nearest neighbours and their distance in Å.
Sites, in units of the cell vectors:
1 Pr 0.5000 0.5000 0.5000  4 Er 3.51, 4 Pm 3.51
2 Th 0.0000 0.0000 0.0000  4 Pm 3.51, 4 Er 3.51
3 Pm 0.7500 0.7500 0.7500  4 Pr 3.51, 4 Th 3.51
4 Er 0.2500 0.2500 0.2500  4 Th 3.51, 4 Pr 3.51

Properties
E_tot = -20.9 eV per cell
energy above the most stable polymorph in this dataset = 136 meV/atom
SG = No. 216
V = 133.5 Å³ per cell

No. 2
DFT (PBE) results for a relaxed Pm2PrErTh crystal.

a = 6.4669 Å, b = 8.6487 Å, c = 6.4109 Å
α = 98.06°, β = 90.00°, γ = 90.00°
Last column: nearest neighbours and their distance in Å.
Sites, in units of the cell vectors:
1 Th 0.5470 0.0000 0.2500  2 Pm 3.17, 2 Th 3.26, 2 Pr 3.34
2 Pm 0.3109 0.3154 0.2050  1 Pm 3.16, 1 Th 3.17, 1 Pr 3.49, 1 Er 3.50
3 Pr 0.0000 0.0000 0.0000  2 Pr 3.21, 2 Th 3.34, 2 Pm 3.49
4 Pm 0.6891 0.3154 0.7050  1 Pm 3.16, 1 Th 3.17, 1 Pr 3.49, 1 Er 3.50
5 Pm 0.6891 0.6846 0.7950  1 Pm 3.16, 1 Th 3.17, 1 Pr 3.49, 1 Er 3.50
6 Th 0.4530 0.0000 0.7500  2 Pm 3.17, 2 Th 3.26, 2 Pr 3.34
7 Er 0.1716 0.5000 0.7500  8 Pm 3.50-3.74, 2 Er 3.90
8 Er 0.8284 0.5000 0.2500  8 Pm 3.50-3.74, 2 Er 3.90
9 Pr 0.0000 0.0000 0.5000  2 Pr 3.21, 2 Th 3.34, 2 Pm 3.49
10 Pm 0.3109 0.6846 0.2950  1 Pm 3.16, 1 Th 3.17, 1 Pr 3.49, 1 Er 3.50

Properties
E_tot = -49.4 eV per cell
SG = No. 13
V = 355.0 Å³ per cell

No. 3
DFT (PBE) results for a relaxed PmPr2Er4Th crystal.

a = 5.1256 Å, b = 5.1149 Å, c = 11.1697 Å
α = 62.80°, β = 90.00°, γ = 90.00°
Last column: nearest neighbours and their distance in Å.
Sites, in units of the cell vectors:
1 Er 0.0000 0.2454 0.2545  2 Th 3.53, 4 Pr 3.54-3.60, 2 Pm 3.60, 4 Er 3.62
2 Pm 0.5000 0.5000 0.0000  8 Er 3.59-3.60, 4 Pr 3.62
3 Er 0.5000 0.7450 0.2546  4 Pr 3.53-3.60, 2 Th 3.54, 2 Pm 3.59-3.60, 4 Er 3.62
4 Th 0.0000 0.5000 0.5000  8 Er 3.53-3.54, 4 Pr 3.62
5 Er 0.5000 0.2550 0.7454  4 Pr 3.53-3.60, 2 Th 3.54, 2 Pm 3.59-3.60, 4 Er 3.62
6 Er 0.0000 0.7546 0.7455  2 Th 3.53, 4 Pr 3.54-3.60, 2 Pm 3.60, 4 Er 3.62
7 Pr 0.0000 0.0000 0.0000  8 Er 3.59-3.60, 4 Pm 3.62
8 Pr 0.5000 0.0000 0.5000  8 Er 3.53-3.54, 4 Th 3.62

Properties
E_tot = -39.7 eV per cell
SG = No. 10
V = 260.4 Å³ per cell

No. 4
DFT (PBE) results for a relaxed Pm4PrEr2Th crystal.

a = 5.1056 Å, b = 5.0939 Å, c = 11.4703 Å
α = 63.58°, β = 89.99°, γ = 89.99°
Last column: nearest neighbours and their distance in Å.
Sites, in units of the cell vectors:
1 Pm 0.5000 0.2549 0.7449  4 Er 3.58-3.66, 2 Th 3.58, 4 Pm 3.61, 2 Pr 3.65-3.66
2 Pm 0.0000 0.2461 0.2539  2 Th 3.59, 4 Er 3.59-3.65, 4 Pm 3.61, 2 Pr 3.65
3 Pm 0.4999 0.7451 0.2551  4 Er 3.58-3.66, 2 Th 3.58, 4 Pm 3.61, 2 Pr 3.65-3.66
4 Er 0.0000 0.0000 0.0000  4 Pr 3.61, 8 Pm 3.64-3.66
5 Pr 0.5000 0.5000 0.0000  4 Er 3.61, 8 Pm 3.65-3.66
6 Th 0.0000 0.5000 0.5000  8 Pm 3.58-3.59, 4 Er 3.61
7 Pm 0.0000 0.7539 0.7461  2 Th 3.59, 4 Er 3.59-3.65, 4 Pm 3.61, 2 Pr 3.65
8 Er 0.5000 0.0000 0.5000  8 Pm 3.58-3.59, 4 Th 3.61

Properties
E_tot = -40.0 eV per cell
SG = No. 10
V = 267.2 Å³ per cell

> Among the records above, which one has the lowest V?

PmPrErTh

> Among the records above, which one has the lowest E_tot?

Pm2PrErTh

Repeat the first record exactly.
DFT (PBE) results for a relaxed PmPrErTh crystal.

a = 5.7374 Å, b = 5.7374 Å, c = 5.7374 Å
α = 60.00°, β = 60.00°, γ = 60.00°
Last column: nearest neighbours and their distance in Å.
Sites, in units of the cell vectors:
1 Pr 0.5000 0.5000 0.5000  4 Er 3.51, 4 Pm 3.51
2 Th 0.0000 0.0000 0.0000  4 Pm 3.51, 4 Er 3.51
3 Pm 0.7500 0.7500 0.7500  4 Pr 3.51, 4 Th 3.51
4 Er 0.2500 0.2500 0.2500  4 Th 3.51, 4 Pr 3.51

Properties
E_tot = -20.9 eV per cell
energy above the most stable polymorph in this dataset = 136 meV/atom
SG = No. 216
V = 133.5 Å³ per cell